--- 1 ---
VASP calculation (PBE-GGA) on Ta2Ni2Pt after structural relaxation.

Results
DOS at the Fermi energy: 4.35 states/eV/cell
total moment: 0.00 μB/f.u.
space group: No. 65
calculated density: 14.04 Mg/m³

Cell and atoms, written as POSCAR:
```
Ta2Ni2Pt
1.0
2.233 -3.117 0.000
2.233 3.117 0.000
0.000 0.000 5.726
Ta Ni Pt
2 2 1
Direct
0.000 0.000 0.246 Ta
0.000 0.000 0.754 Ta
0.318 0.682 0.000 Ni
0.682 0.318 0.000 Ni
0.500 0.500 0.500 Pt
```



--- 2 ---
VASP calculation (PBE-GGA) on Ta2Ni2Pt after structural relaxation.

Results
DOS at the Fermi energy: 7.27 states/eV/cell
total moment: 0.00 μB/f.u.
space group: No. 127
calculated density: 15.32 Mg/m³

Cell and atoms, written as POSCAR:
```
Ta2Ni2Pt
1.0
6.686 0.000 0.000
0.000 6.686 0.000
0.000 0.000 3.270
Ta Ni Pt
4 4 2
Direct
0.174 0.326 0.000 Ta
0.326 0.826 0.000 Ta
0.674 0.174 0.000 Ta
0.826 0.674 0.000 Ta
0.126 0.626 0.500 Ni
0.374 0.126 0.500 Ni
0.626 0.874 0.500 Ni
0.874 0.374 0.500 Ni
0.000 0.000 0.500 Pt
0.500 0.500 0.500 Pt
```



The data favor 2; the next most stable structure lies 35.8 kJ/mol of atoms above it.



--- 1 ---
VASP calculation (PBE-GGA) on TaNiPt after structural relaxation.

Results
DOS at the Fermi energy: 2.59 states/eV/cell
total moment: 0.00 μB/f.u.
space group: No. 107
calculated density: 16.22 Mg/m³

Cell and atoms, written as POSCAR:
```
TaNiPt
1.0
-1.435 1.435 5.401
1.435 -1.435 5.401
1.435 1.435 -5.401
Ta Ni Pt
1 1 1
Direct
0.000 0.000 0.000 Ta
0.344 0.344 0.000 Ni
0.679 0.679 0.000 Pt
```



--- 2 ---
VASP calculation (PBE-GGA) on TaNiPt after structural relaxation.

Results
DOS at the Fermi energy: 1.26 states/eV/cell
total moment: 0.00 μB/f.u.
space group: No. 107
calculated density: 16.08 Mg/m³

Cell and atoms, written as POSCAR:
```
TaNiPt
1.0
-1.648 1.648 4.131
1.648 -1.648 4.131
1.648 1.648 -4.131
Ta Ni Pt
1 1 1
Direct
0.000 0.000 0.000 Ta
0.656 0.656 0.000 Ni
0.330 0.330 0.000 Pt
```



The data favor 2; the next most stable structure lies 19.2 kJ/mol of atoms above it.



--- 1 ---
VASP calculation (PBE-GGA) on TaNiPt after structural relaxation.

Results
DOS at the Fermi energy: 3.12 states/eV/cell
total moment: 0.00 μB/f.u.
space group: No. 216
calculated density: 13.56 Mg/m³

Cell and atoms, written as POSCAR:
```
TaNiPt
1.0
0.000 2.986 2.986
2.986 0.000 2.986
2.986 2.986 0.000
Ta Ni Pt
1 1 1
Direct
0.000 0.000 0.000 Ta
0.250 0.250 0.250 Ni
0.750 0.750 0.750 Pt
```



--- 2 ---
VASP calculation (PBE-GGA) on TaNiPt after structural relaxation.

Results
DOS at the Fermi energy: 5.09 states/eV/cell
total moment: 0.00 μB/f.u.
space group: No. 216
calculated density: 14.55 Mg/m³

Cell and atoms, written as POSCAR:
```
TaNiPt
1.0
0.000 2.916 2.916
2.916 0.000 2.916
2.916 2.916 0.000
Ta Ni Pt
1 1 1
Direct
0.000 0.000 0.000 Ta
0.750 0.750 0.750 Ni
0.500 0.500 0.500 Pt
```



The data favor 2; the next most stable structure lies 4.5 kJ/mol of atoms above it.



--- 1 ---
VASP calculation (PBE-GGA) on TaNiPt after structural relaxation.

Results
DOS at the Fermi energy: 2.02 states/eV/cell
total moment: 0.00 μB/f.u.
space group: No. 47
calculated density: 14.25 Mg/m³

Cell and atoms, written as POSCAR:
```
TaNiPt
1.0
3.464 0.000 0.000
0.000 3.776 0.000
0.000 0.000 3.875
Ta Ni Pt
1 1 1
Direct
0.000 0.000 0.000 Ta
0.500 0.500 0.000 Ni
0.000 0.500 0.500 Pt
```



--- 2 ---
VASP calculation (PBE-GGA) on TaNiPt after structural relaxation.

Results
DOS at the Fermi energy: 2.33 states/eV/cell
total moment: 0.00 μB/f.u.
space group: No. 156
calculated density: 16.19 Mg/m³

Cell and atoms, written as POSCAR:
```
TaNiPt
1.0
4.326 0.000 0.000
-2.163 3.747 0.000
0.000 0.000 2.752
Ta Ni Pt
1 1 1
Direct
0.000 0.000 0.000 Ta
0.667 0.333 0.201 Ni
0.333 0.667 0.584 Pt
```



The data favor 2; the next most stable structure lies 38.5 kJ/mol of atoms above it.



--- 1 ---
VASP calculation (PBE-GGA) on TaNiPt after structural relaxation.

Results
DOS at the Fermi energy: 3.10 states/eV/cell
total moment: 0.00 μB/f.u.
space group: No. 156
calculated density: 15.81 Mg/m³

Cell and atoms, written as POSCAR:
```
TaNiPt
1.0
2.850 0.000 0.000
-1.425 2.468 0.000
0.000 0.000 6.491
Ta Ni Pt
1 1 1
Direct
0.000 0.000 0.000 Ta
0.667 0.333 0.319 Ni
0.333 0.667 0.652 Pt
```



--- 2 ---
VASP calculation (PBE-GGA) on TaNiPt after structural relaxation.

Results
DOS at the Fermi energy: 2.10 states/eV/cell
total moment: 0.00 μB/f.u.
space group: No. 40
calculated density: 16.10 Mg/m³

Cell and atoms, written as POSCAR:
```
TaNiPt
1.0
4.648 0.000 0.000
0.000 2.343 4.117
0.000 -2.343 4.117
Ta Ni Pt
2 2 2
Direct
0.250 0.234 0.766 Ta
0.750 0.766 0.234 Ta
0.250 0.565 0.120 Ni
0.750 0.120 0.565 Ni
0.250 0.892 0.449 Pt
0.750 0.449 0.892 Pt
```



The data favor 2; the next most stable structure lies 39.6 kJ/mol of atoms above it.



--- 1 ---
VASP calculation (PBE-GGA) on Ta4NiPt after structural relaxation.

Results
DOS at the Fermi energy: 11.72 states/eV/cell
total moment: 0.00 μB/f.u.
space group: No. 124
calculated density: 16.05 Mg/m³

Cell and atoms, written as POSCAR:
```
Ta4NiPt
1.0
6.328 0.000 0.000
0.000 6.328 0.000
0.000 0.000 5.052
Ta Ni Pt
8 2 2
Direct
0.148 0.335 0.000 Ta
0.148 0.665 0.500 Ta
0.335 0.148 0.500 Ta
0.335 0.852 0.000 Ta
0.665 0.148 0.000 Ta
0.665 0.852 0.500 Ta
0.852 0.335 0.500 Ta
0.852 0.665 0.000 Ta
0.000 0.000 0.250 Ni
0.000 0.000 0.750 Ni
0.500 0.500 0.250 Pt
0.500 0.500 0.750 Pt
```



--- 2 ---
VASP calculation (PBE-GGA) on Ta4NiPt after structural relaxation.

Results
DOS at the Fermi energy: 5.34 states/eV/cell
total moment: 0.00 μB/f.u.
space group: No. 216
calculated density: 15.26 Mg/m³

Cell and atoms, written as POSCAR:
```
Ta4NiPt
1.0
0.000 3.760 3.760
3.760 0.000 3.760
3.760 3.760 0.000
Ta Ni Pt
4 1 1
Direct
0.125 0.125 0.125 Ta
0.125 0.125 0.626 Ta
0.125 0.626 0.125 Ta
0.626 0.125 0.125 Ta
0.750 0.750 0.750 Ni
0.500 0.500 0.500 Pt
```



The data favor 1; the next most stable structure lies 64.4 kJ/mol of atoms above it.



--- 1 ---
VASP calculation (PBE-GGA) on TaNi3Pt after structural relaxation.

Results
DOS at the Fermi energy: 3.32 states/eV/cell
total moment: 0.00 μB/f.u.
space group: No. 221
calculated density: 10.51 Mg/m³

Cell and atoms, written as POSCAR:
```
TaNi3Pt
1.0
4.435 0.000 0.000
0.000 4.435 0.000
0.000 0.000 4.435
Ta Ni Pt
1 3 1
Direct
0.000 0.000 0.000 Ta
0.000 0.000 0.500 Ni
0.000 0.500 0.000 Ni
0.500 0.000 0.000 Ni
0.500 0.500 0.500 Pt
```



--- 2 ---
VASP calculation (PBE-GGA) on TaNi3Pt after structural relaxation.

Results
DOS at the Fermi energy: 7.98 states/eV/cell
total moment: 0.00 μB/f.u.
space group: No. 63
calculated density: 13.70 Mg/m³

Cell and atoms, written as POSCAR:
```
TaNi3Pt
1.0
2.165 -5.863 0.000
2.165 5.863 0.000
0.000 0.000 5.272
Ta Ni Pt
2 6 2
Direct
0.110 0.890 0.750 Ta
0.890 0.110 0.250 Ta
0.314 0.686 0.505 Ni
0.314 0.686 0.995 Ni
0.498 0.502 0.750 Ni
0.502 0.498 0.250 Ni
0.686 0.314 0.005 Ni
0.686 0.314 0.495 Ni
0.123 0.877 0.250 Pt
0.877 0.123 0.750 Pt
```



The data favor 2; the next most stable structure lies 154.2 kJ/mol of atoms above it.



--- 1 ---
VASP calculation (PBE-GGA) on TaNi4Pt2 after structural relaxation.

Results
DOS at the Fermi energy: 5.24 states/eV/cell
total moment: 0.00 μB/f.u.
space group: No. 139
calculated density: 11.07 Mg/m³

Cell and atoms, written as POSCAR:
```
TaNi4Pt2
1.0
-2.222 2.222 6.121
2.222 -2.222 6.121
2.222 2.222 -6.121
Ta Ni Pt
1 4 2
Direct
0.000 0.000 0.000 Ta
0.000 0.500 0.500 Ni
0.188 0.188 0.000 Ni
0.500 0.000 0.500 Ni
0.812 0.812 0.000 Ni
0.388 0.388 0.000 Pt
0.612 0.612 0.000 Pt
```



--- 2 ---
VASP calculation (PBE-GGA) on TaNi4Pt2 after structural relaxation.

Results
DOS at the Fermi energy: 9.44 states/eV/cell
total moment: 0.80 μB/f.u.
space group: No. 139
calculated density: 13.29 Mg/m³

Cell and atoms, written as POSCAR:
```
TaNi4Pt2
1.0
-2.341 2.341 4.593
2.341 -2.341 4.593
2.341 2.341 -4.593
Ta Ni Pt
1 4 2
Direct
0.000 0.000 0.000 Ta
0.000 0.500 0.500 Ni
0.250 0.750 0.500 Ni
0.500 0.000 0.500 Ni
0.750 0.250 0.500 Ni
0.353 0.353 0.000 Pt
0.647 0.647 0.000 Pt
```



The data favor 2; the next most stable structure lies 49.9 kJ/mol of atoms above it.



--- 1 ---
VASP calculation (PBE-GGA) on TaNi4Pt3 after structural relaxation.

Results
DOS at the Fermi energy: 13.38 states/eV/cell
total moment: 2.23 μB/f.u.
space group: No. 12
calculated density: 15.03 Mg/m³

Cell and atoms, written as POSCAR:
```
TaNi4Pt3
1.0
8.606 -1.377 0.000
8.606 1.377 0.000
-0.346 0.000 4.666
Ta Ni Pt
1 4 3
Direct
0.000 0.000 0.000 Ta
0.129 0.129 0.378 Ni
0.254 0.254 0.727 Ni
0.746 0.746 0.273 Ni
0.871 0.871 0.622 Ni
0.367 0.367 0.114 Pt
0.500 0.500 0.500 Pt
0.633 0.633 0.886 Pt
```



--- 2 ---
VASP calculation (PBE-GGA) on TaNi4Pt3 after structural relaxation.

Results
DOS at the Fermi energy: 11.43 states/eV/cell
total moment: 0.61 μB/f.u.
space group: No. 71
calculated density: 14.58 Mg/m³

Cell and atoms, written as POSCAR:
```
TaNi4Pt3
1.0
-1.355 4.111 5.117
1.355 -4.111 5.117
1.355 4.111 -5.117
Ta Ni Pt
1 4 3
Direct
0.000 0.000 0.000 Ta
0.139 0.878 0.261 Ni
0.384 0.122 0.261 Ni
0.616 0.878 0.739 Ni
0.861 0.122 0.739 Ni
0.224 0.724 0.500 Pt
0.500 0.500 0.000 Pt
0.776 0.276 0.500 Pt
```



The data favor 1; the next most stable structure lies 14.2 kJ/mol of atoms above it.



--- 1 ---
VASP calculation (PBE-GGA) on TaNi3Pt6 after structural relaxation.

Results
DOS at the Fermi energy: 26.21 states/eV/cell
total moment: 2.61 μB/f.u.
space group: No. 11
calculated density: 17.33 Mg/m³

Cell and atoms, written as POSCAR:
```
TaNi3Pt6
1.0
8.486 0.000 0.000
0.000 3.925 0.000
-0.401 0.000 8.790
Ta Ni Pt
2 6 12
Direct
0.065 0.250 0.382 Ta
0.935 0.750 0.618 Ta
0.257 0.250 0.998 Ni
0.350 0.750 0.810 Ni
0.448 0.250 0.608 Ni
0.552 0.750 0.392 Ni
0.650 0.250 0.190 Ni
0.743 0.750 0.002 Ni
0.058 0.750 0.903 Pt
0.149 0.250 0.698 Pt
0.160 0.750 0.204 Pt
0.255 0.750 0.511 Pt
0.370 0.250 0.310 Pt
0.458 0.750 0.100 Pt
0.542 0.250 0.900 Pt
0.630 0.750 0.690 Pt
0.745 0.250 0.489 Pt
0.840 0.250 0.796 Pt
0.851 0.750 0.302 Pt
0.942 0.250 0.097 Pt
```



--- 2 ---
VASP calculation (PBE-GGA) on TaNi3Pt6 after structural relaxation.

Results
DOS at the Fermi energy: 25.29 states/eV/cell
total moment: 0.00 μB/f.u.
space group: No. 148
calculated density: 16.38 Mg/m³

Cell and atoms, written as POSCAR:
```
TaNi3Pt6
1.0
5.424 3.131 3.039
-5.424 3.131 3.039
0.000 -6.263 3.039
Ta Ni Pt
2 6 12
Direct
0.000 0.000 0.000 Ta
0.500 0.500 0.500 Ta
0.080 0.343 0.248 Ni
0.248 0.080 0.343 Ni
0.343 0.248 0.080 Ni
0.657 0.752 0.920 Ni
0.752 0.920 0.657 Ni
0.920 0.657 0.752 Ni
0.033 0.676 0.145 Pt
0.145 0.033 0.676 Pt
0.184 0.656 0.536 Pt
0.324 0.855 0.967 Pt
0.344 0.464 0.816 Pt
0.464 0.816 0.344 Pt
0.536 0.184 0.656 Pt
0.656 0.536 0.184 Pt
0.676 0.145 0.033 Pt
0.816 0.344 0.464 Pt
0.855 0.967 0.324 Pt
0.967 0.324 0.855 Pt
```



The data favor 1; the next most stable structure lies 21.9 kJ/mol of atoms above it.



--- 1 ---
VASP calculation (PBE-GGA) on TaNi2Pt2 after structural relaxation.

Results
DOS at the Fermi energy: 9.28 states/eV/cell
total moment: 0.00 μB/f.u.
space group: No. 12
calculated density: 16.14 Mg/m³

Cell and atoms, written as POSCAR:
```
TaNi2Pt2
1.0
4.762 -2.172 0.000
4.762 2.172 0.000
-2.395 0.000 6.849
Ta Ni Pt
2 4 4
Direct
0.237 0.237 0.280 Ta
0.763 0.763 0.720 Ta
0.039 0.039 0.856 Ni
0.132 0.132 0.583 Ni
0.868 0.868 0.417 Ni
0.961 0.961 0.144 Ni
0.333 0.333 0.964 Pt
0.437 0.437 0.647 Pt
0.563 0.563 0.353 Pt
0.667 0.667 0.036 Pt
```



--- 2 ---
VASP calculation (PBE-GGA) on TaNi2Pt2 after structural relaxation.

Results
DOS at the Fermi energy: 9.62 states/eV/cell
total moment: 0.00 μB/f.u.
space group: No. 127
calculated density: 16.06 Mg/m³

Cell and atoms, written as POSCAR:
```
TaNi2Pt2
1.0
6.993 0.000 0.000
0.000 6.993 0.000
0.000 0.000 2.912
Ta Ni Pt
2 4 4
Direct
0.000 0.000 0.000 Ta
0.500 0.500 0.000 Ta
0.128 0.372 0.000 Ni
0.372 0.872 0.000 Ni
0.628 0.128 0.000 Ni
0.872 0.628 0.000 Ni
0.168 0.668 0.500 Pt
0.332 0.168 0.500 Pt
0.668 0.832 0.500 Pt
0.832 0.332 0.500 Pt
```



The data favor 1; the next most stable structure lies 15.7 kJ/mol of atoms above it.



--- 1 ---
VASP calculation (PBE-GGA) on TaNi2Pt2 after structural relaxation.

Results
DOS at the Fermi energy: 8.35 states/eV/cell
total moment: 0.00 μB/f.u.
space group: No. 127
calculated density: 15.73 Mg/m³

Cell and atoms, written as POSCAR:
```
TaNi2Pt2
1.0
7.133 0.000 0.000
0.000 7.133 0.000
0.000 0.000 2.857
Ta Ni Pt
2 4 4
Direct
0.000 0.000 0.000 Ta
0.500 0.500 0.000 Ta
0.162 0.338 0.500 Ni
0.338 0.838 0.500 Ni
0.662 0.162 0.500 Ni
0.838 0.662 0.500 Ni
0.136 0.636 0.000 Pt
0.364 0.136 0.000 Pt
0.636 0.864 0.000 Pt
0.864 0.364 0.000 Pt
```



--- 2 ---
VASP calculation (PBE-GGA) on TaNi2Pt2 after structural relaxation.

Results
DOS at the Fermi energy: 9.91 states/eV/cell
total moment: 0.00 μB/f.u.
space group: No. 15
calculated density: 16.16 Mg/m³

Cell and atoms, written as POSCAR:
```
TaNi2Pt2
1.0
4.673 -2.320 0.000
4.673 2.320 0.000
-2.464 0.000 6.526
Ta Ni Pt
2 4 4
Direct
0.181 0.819 0.750 Ta
0.819 0.181 0.250 Ta
0.239 0.564 0.053 Ni
0.436 0.761 0.447 Ni
0.564 0.239 0.553 Ni
0.761 0.436 0.947 Ni
0.017 0.362 0.648 Pt
0.362 0.017 0.148 Pt
0.638 0.983 0.852 Pt
0.983 0.638 0.352 Pt
```



The data favor 2; the next most stable structure lies 27.9 kJ/mol of atoms above it.